(1)
MnPb3: optimized geometry, GGA-PBE.

Properties
Fermi-level density of states	0.630	states/eV per atom

The structure in CIF format:
```
data_MnPb3
_chemical_formula_sum 'Mn1 Pb3'
_cell_length_a 3.4384
_cell_length_b 5.3902
_cell_length_c 5.9436
_cell_angle_alpha 90.00
_cell_angle_beta 90.00
_cell_angle_gamma 90.00
_symmetry_space_group_name_H-M 'P 1'
_symmetry_Int_Tables_number 1
loop_
_symmetry_equiv_pos_as_xyz
'x,y,z'
loop_
_atom_site_label
_atom_site_fract_x
_atom_site_fract_y
_atom_site_fract_z
Mn1 0.0000 0.0000 0.0000
Pb1 0.0000 0.5000 0.3188
Pb2 0.5000 0.0000 0.4959
Pb3 0.5000 0.5000 0.8465
```

(2)
Mn4Pb5: optimized geometry, GGA-PBE.

Properties
Fermi-level density of states	0.623	states/eV per atom
excess energy over the best structure of this formula in the dataset	18	meV per atom

The structure in CIF format:
```
data_Mn4Pb5
_chemical_formula_sum 'Mn4 Pb5'
_cell_length_a 7.3676
_cell_length_b 7.3676
_cell_length_c 7.3676
_cell_angle_alpha 95.07
_cell_angle_beta 95.07
_cell_angle_gamma 145.40
_symmetry_space_group_name_H-M 'P 1'
_symmetry_Int_Tables_number 1
loop_
_symmetry_equiv_pos_as_xyz
'x,y,z'
loop_
_atom_site_label
_atom_site_fract_x
_atom_site_fract_y
_atom_site_fract_z
Mn1 0.0000 0.3638 0.3638
Mn2 0.0000 0.6362 0.6362
Mn3 0.3638 0.0000 0.3638
Mn4 0.6362 0.0000 0.6362
Pb1 0.0000 0.0000 0.0000
Pb2 0.3267 0.3267 0.6534
Pb3 0.3267 0.6733 0.0000
Pb4 0.6733 0.3267 0.0000
Pb5 0.6733 0.6733 0.3466
```

(3)
Mn2Pb: optimized geometry, GGA-PBE.

Properties
Fermi-level density of states	1.160	states/eV per atom

The structure in CIF format:
```
data_Mn2Pb
_chemical_formula_sum 'Mn4 Pb2'
_cell_length_a 5.4576
_cell_length_b 5.4576
_cell_length_c 5.4576
_cell_angle_alpha 60.00
_cell_angle_beta 60.00
_cell_angle_gamma 60.00
_symmetry_space_group_name_H-M 'P 1'
_symmetry_Int_Tables_number 1
loop_
_symmetry_equiv_pos_as_xyz
'x,y,z'
loop_
_atom_site_label
_atom_site_fract_x
_atom_site_fract_y
_atom_site_fract_z
Mn1 0.0000 0.0000 0.0000
Mn2 0.0000 0.0000 0.5000
Mn3 0.0000 0.5000 0.0000
Mn4 0.5000 0.0000 0.0000
Pb1 0.3750 0.3750 0.3750
Pb2 0.6250 0.6250 0.6250
```

(4)
Mn5Pb: optimized geometry, GGA-PBE.

Properties
Fermi-level density of states	0.488	states/eV per atom

The structure in CIF format:
```
data_Mn5Pb
_chemical_formula_sum 'Mn5 Pb1'
_cell_length_a 4.8816
_cell_length_b 4.8816
_cell_length_c 4.5436
_cell_angle_alpha 90.00
_cell_angle_beta 90.00
_cell_angle_gamma 120.00
_symmetry_space_group_name_H-M 'P 1'
_symmetry_Int_Tables_number 1
loop_
_symmetry_equiv_pos_as_xyz
'x,y,z'
loop_
_atom_site_label
_atom_site_fract_x
_atom_site_fract_y
_atom_site_fract_z
Mn1 0.0000 0.6541 0.0000
Mn2 0.3333 0.6667 0.5000
Mn3 0.3459 0.3459 0.0000
Mn4 0.6541 0.0000 0.0000
Mn5 0.6667 0.3333 0.5000
Pb1 0.0000 0.0000 0.5000
```

(5)
MnPb3: optimized geometry, GGA-PBE.

Properties
Fermi-level density of states	0.535	states/eV per atom

The structure in CIF format:
```
data_MnPb3
_chemical_formula_sum 'Mn2 Pb6'
_cell_length_a 6.6684
_cell_length_b 9.6065
_cell_length_c 3.4603
_cell_angle_alpha 90.00
_cell_angle_beta 90.00
_cell_angle_gamma 90.00
_symmetry_space_group_name_H-M 'P 1'
_symmetry_Int_Tables_number 1
loop_
_symmetry_equiv_pos_as_xyz
'x,y,z'
loop_
_atom_site_label
_atom_site_fract_x
_atom_site_fract_y
_atom_site_fract_z
Mn1 0.0000 0.0000 0.0000
Mn2 0.5000 0.5000 0.0000
Pb1 0.0000 0.5000 0.0000
Pb2 0.2500 0.2500 0.5000
Pb3 0.2500 0.7500 0.5000
Pb4 0.5000 0.0000 0.0000
Pb5 0.7500 0.2500 0.5000
Pb6 0.7500 0.7500 0.5000
```

(6)
Mn3Pb: optimized geometry, GGA-PBE.

Properties
Fermi-level density of states	1.091	states/eV per atom

The structure in CIF format:
```
data_Mn3Pb
_chemical_formula_sum 'Mn12 Pb4'
_cell_length_a 6.2464
_cell_length_b 6.2464
_cell_length_c 6.2464
_cell_angle_alpha 90.00
_cell_angle_beta 90.00
_cell_angle_gamma 90.00
_symmetry_space_group_name_H-M 'P 1'
_symmetry_Int_Tables_number 1
loop_
_symmetry_equiv_pos_as_xyz
'x,y,z'
loop_
_atom_site_label
_atom_site_fract_x
_atom_site_fract_y
_atom_site_fract_z
Mn1 0.0000 0.0000 0.0000
Mn2 0.0000 0.5000 0.5000
Mn3 0.2500 0.2500 0.2500
Mn4 0.2500 0.2500 0.7500
Mn5 0.2500 0.7500 0.2500
Mn6 0.2500 0.7500 0.7500
Mn7 0.5000 0.0000 0.5000
Mn8 0.5000 0.5000 0.0000
Mn9 0.7500 0.2500 0.2500
Mn10 0.7500 0.2500 0.7500
Mn11 0.7500 0.7500 0.2500
Mn12 0.7500 0.7500 0.7500
Pb1 0.0000 0.0000 0.5000
Pb2 0.0000 0.5000 0.0000
Pb3 0.5000 0.0000 0.0000
Pb4 0.5000 0.5000 0.5000
```

(7)
Mn5Pb4: optimized geometry, GGA-PBE.

Properties
Fermi-level density of states	0.832	states/eV per atom
excess energy over the best structure of this formula in the dataset	0	meV per atom

The structure in CIF format:
```
data_Mn5Pb4
_chemical_formula_sum 'Mn5 Pb4'
_cell_length_a 6.9420
_cell_length_b 6.9420
_cell_length_c 6.9420
_cell_angle_alpha 95.59
_cell_angle_beta 95.59
_cell_angle_gamma 143.62
_symmetry_space_group_name_H-M 'P 1'
_symmetry_Int_Tables_number 1
loop_
_symmetry_equiv_pos_as_xyz
'x,y,z'
loop_
_atom_site_label
_atom_site_fract_x
_atom_site_fract_y
_atom_site_fract_z
Mn1 0.0000 0.0000 0.0000
Mn2 0.3516 0.3516 0.7032
Mn3 0.3516 0.6484 0.0000
Mn4 0.6484 0.3516 0.0000
Mn5 0.6484 0.6484 0.2968
Pb1 0.0000 0.3008 0.3008
Pb2 0.0000 0.6992 0.6992
Pb3 0.3008 0.0000 0.3008
Pb4 0.6992 0.0000 0.6992
```

(8)
Mn5Pb4: optimized geometry, GGA-PBE.

Properties
Fermi-level density of states	1.018	states/eV per atom
excess energy over the best structure of this formula in the dataset	38	meV per atom

The structure in CIF format:
```
data_Mn5Pb4
_chemical_formula_sum 'Mn10 Pb8'
_cell_length_a 8.5212
_cell_length_b 8.5212
_cell_length_c 5.9544
_cell_angle_alpha 90.00
_cell_angle_beta 90.00
_cell_angle_gamma 120.00
_symmetry_space_group_name_H-M 'P 1'
_symmetry_Int_Tables_number 1
loop_
_symmetry_equiv_pos_as_xyz
'x,y,z'
loop_
_atom_site_label
_atom_site_fract_x
_atom_site_fract_y
_atom_site_fract_z
Mn1 0.0000 0.2931 0.2500
Mn2 0.0000 0.7069 0.7500
Mn3 0.2931 0.0000 0.2500
Mn4 0.2931 0.2931 0.7500
Mn5 0.3333 0.6667 0.0000
Mn6 0.3333 0.6667 0.5000
Mn7 0.6667 0.3333 0.0000
Mn8 0.6667 0.3333 0.5000
Mn9 0.7069 0.0000 0.7500
Mn10 0.7069 0.7069 0.2500
Pb1 0.0000 0.0000 0.0000
Pb2 0.0000 0.0000 0.5000
Pb3 0.0000 0.3799 0.7500
Pb4 0.0000 0.6201 0.2500
Pb5 0.3799 0.0000 0.7500
Pb6 0.3799 0.3799 0.2500
Pb7 0.6201 0.0000 0.2500
Pb8 0.6201 0.6201 0.7500
```

(9)
Mn2Pb: optimized geometry, GGA-PBE.

Properties
Fermi-level density of states	0.819	states/eV per atom

The structure in CIF format:
```
data_Mn2Pb
_chemical_formula_sum 'Mn8 Pb4'
_cell_length_a 3.9684
_cell_length_b 13.2033
_cell_length_c 4.1579
_cell_angle_alpha 90.00
_cell_angle_beta 90.00
_cell_angle_gamma 90.00
_symmetry_space_group_name_H-M 'P 1'
_symmetry_Int_Tables_number 1
loop_
_symmetry_equiv_pos_as_xyz
'x,y,z'
loop_
_atom_site_label
_atom_site_fract_x
_atom_site_fract_y
_atom_site_fract_z
Mn1 0.0000 0.0909 0.2500
Mn2 0.0000 0.2512 0.7500
Mn3 0.0000 0.7488 0.2500
Mn4 0.0000 0.9091 0.7500
Mn5 0.5000 0.2488 0.2500
Mn6 0.5000 0.4091 0.7500
Mn7 0.5000 0.5909 0.2500
Mn8 0.5000 0.7512 0.7500
Pb1 0.0000 0.4009 0.2500
Pb2 0.0000 0.5991 0.7500
Pb3 0.5000 0.0991 0.7500
Pb4 0.5000 0.9009 0.2500
```

(10)
Mn3Pb: optimized geometry, GGA-PBE.

Properties
Fermi-level density of states	1.256	states/eV per atom

The structure in CIF format:
```
data_Mn3Pb
_chemical_formula_sum 'Mn9 Pb3'
_cell_length_a 3.0488
_cell_length_b 3.0488
_cell_length_c 27.7370
_cell_angle_alpha 90.00
_cell_angle_beta 90.00
_cell_angle_gamma 120.00
_symmetry_space_group_name_H-M 'P 1'
_symmetry_Int_Tables_number 1
loop_
_symmetry_equiv_pos_as_xyz
'x,y,z'
loop_
_atom_site_label
_atom_site_fract_x
_atom_site_fract_y
_atom_site_fract_z
Mn1 0.0000 0.0000 0.0000
Mn2 0.0000 0.0000 0.2583
Mn3 0.0000 0.0000 0.7417
Mn4 0.3333 0.6667 0.4084
Mn5 0.3333 0.6667 0.6667
Mn6 0.3333 0.6667 0.9250
Mn7 0.6667 0.3333 0.0750
Mn8 0.6667 0.3333 0.3333
Mn9 0.6667 0.3333 0.5916
Pb1 0.0000 0.0000 0.5000
Pb2 0.3333 0.6667 0.1667
Pb3 0.6667 0.3333 0.8333
```

Number 1: ΔE_f 0.368 eV/atom. Number 2: ΔE_f 0.485 eV/atom. Number 3: ΔE_f 0.526 eV/atom. Number 4: ΔE_f 0.517 eV/atom. Number 5: ΔE_f 0.357 eV/atom. Number 6: ΔE_f 0.557 eV/atom. Number 7: ΔE_f 0.483 eV/atom. Number 8: ΔE_f 0.521 eV/atom. Number 9: ΔE_f 0.476 eV/atom. Number 10: ΔE_f 0.683 eV/atom.